Ac3Be2CrN6: optimized geometry, PBE. Values from VASP.

Properties
Symmetry   P-3m1 (164)
Uncorrected formation energy   -796 meV per atom
Calculated density   7.97 g/cm³

```
&SYSTEM
  ibrav = 0, nat = 12, ntyp = 4
/
ATOMIC_SPECIES
Ac 227.00 Ac.upf
Be 9.01 Be.upf
Cr 52.00 Cr.upf
N 14.01 N.upf
ATOMIC_POSITIONS angstrom
Ac 0.000 0.000 0.000
Ac 0.000 3.229 4.270
Ac 2.797 1.615 2.155
Be 0.000 3.229 1.645
Be 2.797 1.615 4.780
Cr 0.000 0.000 3.213
N 0.000 1.634 2.007
N -1.381 4.027 2.007
N 1.415 0.817 4.418
N 1.381 4.027 2.007
N 4.178 0.817 4.418
N 2.797 3.210 4.418
CELL_PARAMETERS angstrom
5.593 0.000 0.000
-2.797 4.844 0.000
0.000 0.000 6.425
```